Ca4Al6SO16 after structural relaxation, computed with PBE-GGA.

The value obtained for the relative energy among the computed polymorphs is 4 meV per atom. The calculation puts the uncorrected formation energy at -2.878 eV/atom. The calculation puts the volume at 15.12 Å³ per atom.

Structure (extended XYZ):
```
27
Lattice="-5.197 4.853 3.868 -0.776 -7.525 2.878 7.569 2.608 1.189" Properties=species:S:1:pos:R:3 pbc="T T T"
Ca -2.136 2.122 1.795
Ca -1.865 5.826 4.358
Ca 1.913 4.177 6.194
Ca 0.861 0.124 4.512
Al -1.234 -2.475 4.425
Al 1.904 -3.127 3.720
Al -2.491 0.580 4.620
Al -0.307 3.062 4.215
Al 2.875 2.430 3.460
Al 4.043 -0.665 3.365
S 0.000 0.000 0.000
O -1.666 -3.672 5.645
O 3.302 -2.095 4.091
O 4.140 3.307 4.313
O 2.168 -4.627 4.635
O 4.478 -0.706 1.657
O -1.899 -0.996 5.133
O 1.411 2.780 4.380
O 1.669 -3.638 2.034
O -1.939 -3.101 2.938
O 0.475 -2.147 4.119
O -1.031 1.470 4.188
O 2.891 0.661 3.484
O -3.731 4.584 3.866
O 1.635 6.166 5.085
O 1.220 0.692 6.706
O -0.351 0.807 1.203
```